Entry 1:
A crystal of AlHgIr3 relaxed with PBEsol. Source: Alexandria via LeMat-Bulk, functional SCAN.

Its raw total energy is -55.32 eV/atom. For the volume, the calculation gives 22.43 A^3/atom.

It has space group Pm-3m (No. 221), with a = 4.822 Å, b = 4.822 Å, c = 4.822 Å, α = 90.00°, β = 90.00° and γ = 90.00°. Symmetry generates all atoms from Al at (0.000, 0.000, 0.000), Hg at (0.500, 0.500, 0.500) and Ir at (0.000, 0.500, 0.500).

=====

Entry 2:
A crystal of CsBe3Cl relaxed with PBEsol. Source: Alexandria via LeMat-Bulk, functional SCAN.

Its formation energy without anion corrections is 1505 meV/atom. For the volume, the calculation gives 26.47 A^3/atom.

It has space group Pm-3m (No. 221), with a = 5.096 Å, b = 5.096 Å, c = 5.096 Å, α = 90.00°, β = 90.00° and γ = 90.00°. Symmetry generates all atoms from Cs at (0.000, 0.000, 0.000), Be at (0.000, 0.500, 0.500) and Cl at (0.500, 0.500, 0.500).

=====

Entry 3:
A crystal of CaMnO2 relaxed with PBEsol. Source: Alexandria via LeMat-Bulk, functional SCAN.

Its formation energy without anion corrections is -2540 meV/atom. For the volume, the calculation gives 12.11 A^3/atom.

It has space group P4/mmm (No. 123), with a = 3.258 Å, b = 3.258 Å, c = 4.561 Å, α = 90.00°, β = 90.00° and γ = 90.00°. Symmetry generates all atoms from Ca at (0.000, 0.000, 0.000), Mn at (0.500, 0.500, 0.500), O at (0.000, 0.000, 0.500) and O at (0.500, 0.500, 0.000).

=====

Entry 4:
A crystal of K2YSi relaxed with PBEsol. Source: Alexandria via LeMat-Bulk, functional SCAN.

Its formation energy without anion corrections is 391 meV/atom. For the volume, the calculation gives 48.41 A^3/atom.

It has space group I-42d (No. 122), with a = 11.905 Å, b = 11.905 Å, c = 5.465 Å, α = 90.00°, β = 90.00° and γ = 90.00°. Symmetry generates all atoms from K at (0.115, 0.250, 0.125), Y at (0.000, 0.000, 0.500) and Si at (0.000, 0.000, 0.000).

=====

Entry 5:
A crystal of TlInFeRh2 relaxed with PBEsol. Source: Alexandria via LeMat-Bulk, functional SCAN.

Its raw total energy is -36.62 eV/atom. For the volume, the calculation gives 24.54 A^3/atom.

It has space group P4/mmm (No. 123), with a = 4.887 Å, b = 4.887 Å, c = 5.137 Å, α = 90.00°, β = 90.00° and γ = 90.00°. Symmetry generates all atoms from Tl at (0.000, 0.000, 0.000), In at (0.000, 0.000, 0.500), Fe at (0.500, 0.500, 0.500) and Rh at (0.000, 0.500, 0.000).

=====

Entry 6:
A crystal of TaSi2Os relaxed with PBEsol. Source: Alexandria via LeMat-Bulk, functional SCAN.

Its formation energy without anion corrections is -112 meV/atom. For the volume, the calculation gives 14.37 A^3/atom.

It has space group R-3m (No. 166, hexagonal axes), with a = 2.8500 Å, b = 2.8500 Å, c = 24.5229 Å, α = 90.00°, β = 90.00° and γ = 120.00°. Symmetry generates all atoms from Ta at (0.0000, 0.0000, 0.0000), Si at (0.0000, 0.0000, 0.2436) and Os at (0.0000, 0.0000, 0.5000).

=====

Entry 7:
A crystal of KRh2Se relaxed with PBEsol. Source: Alexandria via LeMat-Bulk, functional SCAN.

Its formation energy without anion corrections is 94 meV/atom. For the volume, the calculation gives 19.30 A^3/atom.

It has space group Pmm2 (No. 25), with a = 2.916 Å, b = 3.737 Å, c = 7.084 Å, α = 90.00°, β = 90.00° and γ = 90.00°. Symmetry generates all atoms from K at (0.000, 0.000, 0.000), Rh at (0.000, 0.000, 0.514), Rh at (0.500, 0.500, 0.325) and Se at (0.500, 0.500, 0.659).

=====

Entry 8:
A crystal of Nb2BrF relaxed with PBEsol. Source: Alexandria via LeMat-Bulk, functional SCAN.

Its formation energy without anion corrections is -340 meV/atom. For the volume, the calculation gives 16.89 A^3/atom.

It has space group I-42d (No. 122), with a = 4.010 Å, b = 4.010 Å, c = 16.810 Å, α = 90.00°, β = 90.00° and γ = 90.00°. Symmetry generates all atoms from Nb at (0.225, 0.250, 0.125), Br at (0.000, 0.000, 0.500) and F at (0.000, 0.000, 0.000).